# 1
Computed, not measured: a relaxed structure of Ba2Au2S3 at the PBE-GGA level of DFT.

Properties
Theoretical density ... 5.165 g/cm³
ΔE_f (raw) ... -1.129 eV per atom

Unit cell a=17.3021 b=4.6360 c=6.4627 alpha=90.00 beta=108.45 gamma=90.00
Space group C2/m (No. 12)
Inequivalent atoms, fractional coordinates:
Ba (0.1316, 0.0000, 0.2687)
Au (0.0886, 0.5000, 0.7890)
S (0.0000, 0.5000, 0.0000)
S (0.1809, 0.5000, 0.6053)

# 2
Computed, not measured: a relaxed structure of BaAuS2 at the PBE-GGA level of DFT.

Properties
Theoretical density ... 4.281 g/cm³
ΔE_f (raw) ... -0.877 eV per atom

Unit cell a=5.0958 b=5.0958 c=20.6147 alpha=90.00 beta=90.00 gamma=120.00
Space group R-3m (No. 166, hexagonal axes)
Inequivalent atoms, fractional coordinates:
Ba (0.0000, 0.0000, 0.0000)
Au (0.0000, 0.0000, 0.5000)
S (0.0000, 0.0000, 0.3906)

# 3
Computed, not measured: a relaxed structure of BaAuS3 at the PBE-GGA level of DFT.

Properties
Theoretical density ... 4.650 g/cm³
ΔE_f (raw) ... -0.750 eV per atom
Excess energy over the best structure of this formula in the dataset ... 0.00 eV/f.u.

Unit cell a=5.3899 b=6.4809 c=9.0414 alpha=90.00 beta=103.23 gamma=90.00
Space group P2_1 (No. 4)
Inequivalent atoms, fractional coordinates:
Ba (0.1059, 0.0000, 0.3271)
Au (0.4705, 0.3790, 0.0980)
S (0.0557, 0.4976, 0.3457)
S (0.4354, 0.4180, 0.3581)
S (0.4688, 0.5103, 0.8607)

# 4
Computed, not measured: a relaxed structure of BaAuS3 at the PBE-GGA level of DFT.

Properties
Theoretical density ... 3.337 g/cm³
ΔE_f (raw) ... 0.772 eV per atom
Excess energy over the best structure of this formula in the dataset ... 7.61 eV/f.u.

Unit cell a=5.9833 b=5.9833 c=5.9833 alpha=90.00 beta=90.00 gamma=90.00
Space group Pm-3m (No. 221)
Inequivalent atoms, fractional coordinates:
Ba (0.0000, 0.0000, 0.0000)
Au (0.5000, 0.5000, 0.5000)
S (0.0000, 0.0000, 0.5000)

# 5
Computed, not measured: a relaxed structure of BaSbAu2S4 at the PBE-GGA level of DFT.

Properties
Theoretical density ... 5.830 g/cm³
ΔE_f (raw) ... -0.575 eV per atom

Unit cell a=6.5805 b=8.0682 c=8.3822 alpha=90.00 beta=90.00 gamma=90.00
Space group I222 (No. 23)
Inequivalent atoms, fractional coordinates:
Ba (0.0000, 0.0000, 0.0000)
Sb (0.0000, 0.0000, 0.5000)
Au (0.0000, 0.5000, 0.1834)
S (0.2175, 0.1761, 0.3131)

# 6
Computed, not measured: a relaxed structure of Ba3ScAu2S6 at the PBE-GGA level of DFT.

Properties
Theoretical density ... 4.595 g/cm³
ΔE_f (raw) ... -1.167 eV per atom

Unit cell a=7.3990 b=7.3990 c=7.9514 alpha=90.00 beta=90.00 gamma=120.00
Space group P-3m1 (No. 164)
Inequivalent atoms, fractional coordinates:
Ba (0.0000, 0.0000, 0.0000)
Ba (0.3333, 0.6667, 0.6222)
Sc (0.0000, 0.0000, 0.5000)
Au (0.3333, 0.6667, 0.2053)
S (0.1565, 0.3129, 0.3012)

Number 1: total energy -4.38 eV/atom, calculated volume 492 Å³/cell, N(E_F) 0.000 states/eV/f.u.. Number 2: total energy -4.24 eV/atom, calculated volume 464 Å³/cell, N(E_F) 6.190 states/eV/f.u.. Number 3: total energy -4.27 eV/atom, calculated volume 307 Å³/cell, N(E_F) 0.718 states/eV/f.u.. Number 4: total energy -2.74 eV/atom, calculated volume 214 Å³/cell, N(E_F) 4.920 states/eV/f.u.. Number 5: total energy -4.21 eV/atom, calculated volume 445 Å³/cell, N(E_F) 5.574 states/eV/f.u.. Number 6: total energy -4.79 eV/atom, calculated volume 377 Å³/cell, N(E_F) 7.533 states/eV/f.u..